An optimized crystal structure of LiSiGeOs. Source: Alexandria, functional PBE-GGA.

Geometry as POSCAR:
```
LiSiGeOs
1.0
0.0000 3.0061 3.0061
3.0061 0.0000 3.0061
3.0061 3.0061 0.0000
Li Si Ge Os
1 1 1 1
Direct
0.0000 0.0000 0.0000
0.7500 0.7500 0.7500
0.2500 0.2500 0.2500
0.5000 0.5000 0.5000
```

Properties
The crystal system is cubic. The energy relative to the elements, uncorrected comes out at -133.5 meV per atom. As for the space-group type: F-43m.

=====

An optimized crystal structure of RhPbSe2. Source: Alexandria, functional PBE-GGA.

Geometry as POSCAR:
```
RhPbSe2
1.0
-1.6914 1.8257 7.2991
1.6914 -1.8257 7.2991
1.6914 1.8257 -7.2991
Rh Pb Se
1 1 2
Direct
0.0000 0.0000 0.0000
0.7588 0.2588 0.5000
0.1314 0.6314 0.5000
0.4381 0.4381 0.0000
```

Properties
The crystal system is orthorhombic. The energy relative to the elements, uncorrected comes out at -95.7 meV per atom. As for the space-group type: Imm2.

=====

An optimized crystal structure of ErCo2Re. Source: Alexandria, functional PBE-GGA.

Geometry as POSCAR:
```
ErCo2Re
1.0
2.0372 1.1762 4.7300
-2.0372 1.1762 4.7300
0.0000 -2.3524 4.7300
Er Co Re
1 2 1
Direct
0.0000 0.0000 0.0000
0.2002 0.2002 0.2002
0.7998 0.7998 0.7998
0.5000 0.5000 0.5000
```

Properties
The crystal system is trigonal. The value obtained for the formation energy is -0.040 eV per atom. As for the space-group type: R-3m.

=====

An optimized crystal structure of Ba2CuP2O9. Source: Alexandria, functional PBE-GGA.

Geometry as POSCAR:
```
Ba2CuP2O9
1.0
8.7028 0.0000 0.0000
0.0000 5.7707 0.0000
-3.3353 0.0000 8.2633
Ba Cu P O
4 2 4 18
Direct
0.2039 0.2500 0.2203
0.2122 0.7500 0.5953
0.7878 0.2500 0.4047
0.7961 0.7500 0.7797
0.5000 0.0000 0.0000
0.5000 0.5000 0.0000
0.0622 0.2500 0.8035
0.4885 0.2500 0.6835
0.5115 0.7500 0.3165
0.9378 0.7500 0.1965
0.0136 0.0315 0.6939
0.0136 0.4685 0.6939
0.0391 0.7500 0.0846
0.2492 0.2500 0.9146
0.3094 0.2500 0.5614
0.3702 0.7500 0.9299
0.3804 0.7500 0.3921
0.4803 0.5232 0.2069
0.4803 0.9768 0.2069
0.5197 0.0232 0.7931
0.5197 0.4768 0.7931
0.6196 0.2500 0.6079
0.6298 0.2500 0.0701
0.6906 0.7500 0.4386
0.7508 0.7500 0.0854
0.9609 0.2500 0.9154
0.9864 0.5315 0.3061
0.9864 0.9685 0.3061
```

Properties
The crystal system is monoclinic. The energy relative to the elements, uncorrected comes out at -2190.3 meV per atom. The polymorph energy (0 for the lowest one) is 0.0 meV per atom. As for the space-group type: P2_1/m.

=====

An optimized crystal structure of HoTmThTc. Source: Alexandria, functional PBE-GGA.

Geometry as POSCAR:
```
HoTmThTc
1.0
0.0000 3.6764 3.6764
3.6764 0.0000 3.6764
3.6764 3.6764 0.0000
Ho Tm Th Tc
1 1 1 1
Direct
0.0000 0.0000 0.0000
0.7500 0.7500 0.7500
0.5000 0.5000 0.5000
0.2500 0.2500 0.2500
```

Properties
The crystal system is cubic. The value obtained for the formation energy is 0.159 eV per atom. As for the space-group type: F-43m.

=====

An optimized crystal structure of BeTeRu. Source: Alexandria, functional PBE-GGA.

Geometry as POSCAR:
```
BeTeRu
1.0
2.1674 -2.1673 0.0000
2.1674 2.1673 0.0000
-0.0336 0.0000 5.4918
Be Te Ru
1 1 1
Direct
0.0000 0.0000 0.0000
0.0040 0.0040 0.5202
0.5031 0.5031 0.2164
```

Properties
The crystal system is monoclinic. The energy relative to the elements, uncorrected comes out at 228.9 meV per atom. The polymorph energy (0 for the lowest one) is 22.3 meV per atom. As for the space-group type: Cm.

=====

An optimized crystal structure of LiAgRh2. Source: Alexandria, functional PBE-GGA.

Geometry as POSCAR:
```
LiAgRh2
1.0
1.3938 -2.3113 0.0000
1.3938 2.3113 0.0000
0.0000 0.0000 9.3038
Li Ag Rh
1 1 2
Direct
0.0000 0.0000 0.0000
0.0000 0.0000 0.5000
0.5000 0.5000 0.2355
0.5000 0.5000 0.7645
```

Properties
The crystal system is orthorhombic. The polymorph energy (0 for the lowest one) is 110.5 meV per atom. The value obtained for the formation energy is 0.107 eV per atom. As for the space-group type: Cmmm.

=====

An optimized crystal structure of InRu. Source: Alexandria, functional PBE-GGA.

Geometry as POSCAR:
```
InRu
1.0
5.3429 0.0000 0.0000
0.0000 5.3429 0.0000
0.0000 0.0000 5.3815
In Ru
4 4
Direct
0.2008 0.2008 0.0000
0.2992 0.7008 0.5000
0.7008 0.2992 0.5000
0.7992 0.7992 0.0000
0.1930 0.1930 0.5000
0.3070 0.6930 0.0000
0.6930 0.3070 0.0000
0.8070 0.8070 0.5000
```

Properties
The crystal system is tetragonal. The value obtained for the formation energy is 0.605 eV per atom. As for the space-group type: P4_2/mnm.

=====

An optimized crystal structure of Pm2MgAlPd6. Source: Alexandria, functional PBE-GGA.

Geometry as POSCAR:
```
Pm2MgAlPd6
1.0
5.7180 0.0000 0.0000
2.8587 4.9522 0.0000
0.0064 3.2878 7.9577
Pm Mg Al Pd
2 1 1 6
Direct
0.2055 0.0885 0.1182
0.7945 0.9115 0.8818
0.0000 0.5000 0.5000
0.5000 0.5000 0.0000
0.2350 0.5195 0.2271
0.2554 0.4805 0.7727
0.2553 0.9904 0.7723
0.7447 0.0096 0.2277
0.7446 0.5195 0.2273
0.7650 0.4805 0.7729
```

Properties
The crystal system is triclinic. The value obtained for the formation energy is -0.633 eV per atom. As for the space-group type: P-1.

=====

An optimized crystal structure of PmYHf. Source: Alexandria, functional PBE-GGA.

Geometry as POSCAR:
```
PmYHf
1.0
3.7542 0.0000 0.0000
0.0000 3.7542 0.0000
0.0000 0.0000 12.8181
Pm Y Hf
2 2 2
Direct
0.2500 0.2500 0.0952
0.7500 0.7500 0.9048
0.2500 0.2500 0.7034
0.7500 0.7500 0.2966
0.2500 0.2500 0.4495
0.7500 0.7500 0.5505
```

Properties
The crystal system is tetragonal. The polymorph energy (0 for the lowest one) is 0.0 meV per atom. The value obtained for the formation energy is 0.118 eV per atom. As for the space-group type: P4/nmm.

=====

An optimized crystal structure of U2AuSe2N2. Source: Alexandria, functional PBE-GGA.

Geometry as POSCAR:
```
U2AuSe2N2
1.0
3.7392 0.0000 0.0000
-1.8696 3.2383 0.0000
0.0000 0.0000 12.3653
U Au Se N
2 1 2 2
Direct
0.3333 0.6667 0.2973
0.6667 0.3333 0.7027
0.0000 0.0000 0.5000
0.0000 0.0000 0.1494
0.0000 0.0000 0.8506
0.3333 0.6667 0.6731
0.6667 0.3333 0.3269
```

Properties
The crystal system is trigonal. The energy relative to the elements, uncorrected comes out at -852.5 meV per atom. As for the space-group type: P-3m1.

=====

An optimized crystal structure of ZrTe. Source: Alexandria, functional PBE-GGA.

Geometry as POSCAR:
```
ZrTe
1.0
-2.0527 2.0527 5.8197
2.0527 -2.0527 5.8197
2.0527 2.0527 -5.8197
Zr Te
2 2
Direct
0.3750 0.6250 0.7500
0.6250 0.3750 0.2500
0.1250 0.8750 0.2500
0.8750 0.1250 0.7500
```

Properties
The crystal system is tetragonal. The energy relative to the elements, uncorrected comes out at -331.0 meV per atom. As for the space-group type: I4_1/amd.

=====

An optimized crystal structure of Dy2TmTl3S6. Source: Alexandria, functional PBE-GGA.

Geometry as POSCAR:
```
Dy2TmTl3S6
1.0
3.4749 -6.0185 0.0000
3.4749 6.0185 0.0000
-2.3178 0.0000 7.5235
Dy Tm Tl S
2 1 3 6
Direct
0.1666 0.8334 0.0000
0.8334 0.1666 0.0000
0.5000 0.5000 0.0000
0.0000 0.0000 0.5000
0.3327 0.6673 0.5000
0.6673 0.3327 0.5000
0.1045 0.4344 0.8034
0.2359 0.2359 0.1973
0.4344 0.1045 0.8034
0.5656 0.8955 0.1966
0.7641 0.7641 0.8027
0.8955 0.5656 0.1966
```

Properties
The crystal system is monoclinic. The energy relative to the elements, uncorrected comes out at -1489.6 meV per atom. As for the space-group type: C2/m.

=====

An optimized crystal structure of Zr3H. Source: Alexandria, functional PBE-GGA.

Geometry as POSCAR:
```
Zr3H
1.0
-1.5136 4.4912 2.6272
1.5136 -4.4912 2.6272
1.5136 4.4912 -2.6272
Zr H
3 1
Direct
0.0000 0.0000 0.0000
0.3205 0.4986 0.8218
0.6768 0.4986 0.1782
0.3269 0.8269 0.5000
```

Properties
The crystal system is orthorhombic. The polymorph energy (0 for the lowest one) is 0.0 meV per atom. As for the space-group type: Imm2.

=====

An optimized crystal structure of AgAs2PbBr. Source: Alexandria, functional PBE-GGA.

Geometry as POSCAR:
```
AgAs2PbBr
1.0
5.5185 0.0000 0.0000
0.0000 5.5185 0.0000
0.0000 0.0000 5.7619
Ag As Pb Br
1 2 1 1
Direct
0.0000 0.0000 0.0000
0.0000 0.5000 0.5000
0.5000 0.0000 0.5000
0.5000 0.5000 0.5000
0.5000 0.5000 0.0000
```

Properties
The crystal system is tetragonal. The energy relative to the elements, uncorrected comes out at 815.8 meV per atom. The polymorph energy (0 for the lowest one) is 364.9 meV per atom. As for the space-group type: P4/mmm.

=====

An optimized crystal structure of Mn2CdPt. Source: Alexandria, functional PBE-GGA.

Geometry as POSCAR:
```
Mn2CdPt
1.0
0.0000 3.1910 3.1910
3.1910 0.0000 3.1910
3.1910 3.1910 0.0000
Mn Cd Pt
2 1 1
Direct
0.0000 0.0000 0.0000
0.2500 0.2500 0.2500
0.7500 0.7500 0.7500
0.5000 0.5000 0.5000
```

Properties
The crystal system is cubic. The value obtained for the formation energy is 0.008 eV per atom. As for the space-group type: F-43m.

=====

An optimized crystal structure of GdSn3. Source: Alexandria, functional PBE-GGA.

Geometry as POSCAR:
```
GdSn3
1.0
4.4529 0.0000 0.0000
0.0000 2.2239 11.1002
0.0000 -2.2239 11.1002
Gd Sn
2 6
Direct
0.0000 0.0000 0.0000
0.5000 0.2703 0.2703
0.0000 0.3832 0.3832
0.0000 0.6170 0.6170
0.0000 0.7519 0.7519
0.5000 0.1201 0.1201
0.5000 0.5074 0.5074
0.5000 0.8841 0.8841
```

Properties
The crystal system is orthorhombic. The value obtained for the formation energy is -0.394 eV per atom. As for the space-group type: Amm2.

=====

An optimized crystal structure of Ta3AsIr. Source: Alexandria, functional PBE-GGA.

Geometry as POSCAR:
```
Ta3AsIr
1.0
4.8605 0.0000 0.0000
0.0000 4.8605 0.0000
0.0000 0.0000 4.8605
Ta As Ir
3 1 1
Direct
0.0000 0.0000 0.5000
0.0000 0.5000 0.0000
0.5000 0.0000 0.0000
0.5000 0.5000 0.5000
0.0000 0.0000 0.0000
```

Properties
The crystal system is cubic. The polymorph energy (0 for the lowest one) is 69.7 meV per atom. The value obtained for the formation energy is 1.048 eV per atom. As for the space-group type: Pm-3m.

=====

An optimized crystal structure of Ag2Sb. Source: Alexandria, functional PBE-GGA.

Geometry as POSCAR:
```
Ag2Sb
1.0
4.9469 0.0000 0.0000
-2.4734 4.2841 0.0000
0.0000 0.0000 3.0380
Ag Sb
2 1
Direct
0.3333 0.6667 0.0000
0.6667 0.3333 0.0000
0.0000 0.0000 0.5000
```

Properties
The crystal system is hexagonal. The energy relative to the elements, uncorrected comes out at 186.3 meV per atom. The polymorph energy (0 for the lowest one) is 120.6 meV per atom. As for the space-group type: P6/mmm.

=====

An optimized crystal structure of Pm8C3Br4Cl. Source: Alexandria, functional PBE-GGA.

Geometry as POSCAR:
```
Pm8C3Br4Cl
1.0
3.8773 2.2386 7.2990
-3.8773 2.2386 7.2990
0.0000 -4.4771 7.2990
Pm C Br Cl
8 3 4 1
Direct
0.2025 0.7420 0.7420
0.2280 0.2280 0.2280
0.2580 0.2580 0.7975
0.2580 0.7975 0.2580
0.7420 0.2025 0.7420
0.7420 0.7420 0.2025
0.7720 0.7720 0.7720
0.7975 0.2580 0.2580
0.0000 0.0000 0.5000
0.0000 0.5000 0.0000
0.5000 0.0000 0.0000
0.0000 0.0000 0.0000
0.0000 0.5000 0.5000
0.5000 0.0000 0.5000
0.5000 0.5000 0.0000
0.5000 0.5000 0.5000
```

Properties
The crystal system is trigonal. The energy relative to the elements, uncorrected comes out at -992.0 meV per atom. As for the space-group type: R-3m.

=====

An optimized crystal structure of Ba4CaSn3O12. Source: Alexandria, functional PBE-GGA.

Geometry as POSCAR:
```
Ba4CaSn3O12
1.0
-4.2729 4.2729 4.2729
4.2729 -4.2729 4.2729
4.2729 4.2729 -4.2729
Ba Ca Sn O
4 1 3 12
Direct
0.0000 0.0000 0.5000
0.0000 0.5000 0.0000
0.5000 0.0000 0.0000
0.5000 0.5000 0.5000
0.0000 0.0000 0.0000
0.0000 0.5000 0.5000
0.5000 0.0000 0.5000
0.5000 0.5000 0.0000
0.0000 0.2652 0.2652
0.0000 0.7348 0.7348
0.2500 0.5000 0.7500
0.2500 0.7500 0.5000
0.2652 0.0000 0.2652
0.2652 0.2652 0.0000
0.5000 0.2500 0.7500
0.5000 0.7500 0.2500
0.7348 0.0000 0.7348
0.7348 0.7348 0.0000
0.7500 0.2500 0.5000
0.7500 0.5000 0.2500
```

Properties
The crystal system is cubic. The energy relative to the elements, uncorrected comes out at -2151.5 meV per atom. As for the space-group type: Im-3m.

=====

An optimized crystal structure of Tb3Pr2Er7. Source: Alexandria, functional PBE-GGA.

Geometry as POSCAR:
```
Tb3Pr2Er7
1.0
2.8334 -18.9147 0.0000
2.8334 18.9147 0.0000
0.0000 0.0000 3.6040
Tb Pr Er
3 2 7
Direct
0.0000 0.0000 0.0000
0.1864 0.8136 0.0000
0.8136 0.1864 0.0000
0.3533 0.6467 0.5000
0.6467 0.3533 0.5000
0.0885 0.9115 0.5000
0.2696 0.7304 0.5000
0.4296 0.5704 0.0000
0.5000 0.5000 0.5000
0.5704 0.4296 0.0000
0.7304 0.2696 0.5000
0.9115 0.0885 0.5000
```

Properties
The crystal system is orthorhombic. The polymorph energy (0 for the lowest one) is 28.4 meV per atom. The value obtained for the formation energy is 0.114 eV per atom. As for the space-group type: Cmmm.

=====

An optimized crystal structure of BeHBr2O. Source: Alexandria, functional PBE-GGA.

Geometry as POSCAR:
```
BeHBr2O
1.0
7.5885 0.0000 0.0000
0.0000 7.5885 0.0000
0.0000 0.0000 2.7592
Be H Br O
1 1 2 1
Direct
0.0000 0.0000 0.0000
0.5000 0.5000 0.0000
0.0000 0.5000 0.5000
0.5000 0.0000 0.5000
0.0000 0.0000 0.5000
```

Properties
The crystal system is tetragonal. Its energy is -3.328 eV/atom. As for the space-group type: P4/mmm.

=====

An optimized crystal structure of TiNbRuRh. Source: Alexandria, functional PBE-GGA.

Geometry as POSCAR:
```
TiNbRuRh
1.0
0.0000 3.1498 3.1498
3.1498 0.0000 3.1498
3.1498 3.1498 0.0000
Ti Nb Ru Rh
1 1 1 1
Direct
0.0000 0.0000 0.0000
0.5000 0.5000 0.5000
0.2500 0.2500 0.2500
0.7500 0.7500 0.7500
```

Properties
The crystal system is cubic. The value obtained for the formation energy is -0.444 eV per atom. As for the space-group type: F-43m.

=====

An optimized crystal structure of TmPuGePt. Source: Alexandria, functional PBE-GGA.

Geometry as POSCAR:
```
TmPuGePt
1.0
0.0000 3.5274 3.5274
3.5274 0.0000 3.5274
3.5274 3.5274 0.0000
Tm Pu Ge Pt
1 1 1 1
Direct
0.0000 0.0000 0.0000
0.5000 0.5000 0.5000
0.7500 0.7500 0.7500
0.2500 0.2500 0.2500
```

Properties
The crystal system is cubic. The value obtained for the formation energy is -0.720 eV per atom. As for the space-group type: F-43m.